1.
Material: LaHfSb
Method: DFT, PBE
State: optimized geometry

abc: 4.4121 4.4121 8.5622
angles: 90.00 90.00 90.00
Each line ends with the local moment (μB).
Fractional positions:
Sb: 0.5000 0.0000 0.7448  0.00
Sb: 0.0000 0.5000 0.2552  0.00
Hf: 0.5000 0.5000 0.5000  -0.01
Hf: 0.0000 0.0000 0.5000  -0.01
La: 0.0000 0.5000 0.8511  0.05
La: 0.5000 0.0000 0.1489  0.05

Properties
Formation energy from raw total energies = -70 kJ per mole of atoms
Space-group type = P4/nmm, No. 129
Mass density = 8.75 g/cm³
D(E_F) = 4.97 states/eV per cell
Electronic total energy = -42.4 eV for the cell shown

=====

2.
Material: La3HfSb5
Method: DFT, PBE
State: optimized geometry

abc: 9.6482 9.6482 6.3802
angles: 90.00 90.00 120.00
Fractional positions:
Sb: 0.6667 0.3333 0.5000
Sb: 0.2582 0.2582 0.7500
Sb: 0.7418 0.0000 0.7500
Sb: 0.3333 0.6667 0.5000
Sb: 0.7418 0.7418 0.2500
Sb: 0.3333 0.6667 0.0000
Sb: 0.6667 0.3333 0.0000
Sb: 0.2582 0.0000 0.2500
Sb: 0.0000 0.7418 0.7500
Sb: 0.0000 0.2582 0.2500
La: 0.0000 0.6176 0.2500
La: 0.3824 0.3824 0.2500
La: 0.3824 0.0000 0.7500
La: 0.6176 0.0000 0.2500
La: 0.6176 0.6176 0.7500
La: 0.0000 0.3824 0.7500
Hf: 0.0000 0.0000 0.0000
Hf: 0.0000 0.0000 0.5000

Properties
Formation energy from raw total energies = -100 kJ per mole of atoms
Space-group type = P6_3/mcm, No. 193
Mass density = 7.77 g/cm³
D(E_F) = 7.29 states/eV per cell
Electronic total energy = -109.3 eV for the cell shown

=====

3.
Material: LaHfSnSb2
Method: DFT, PBE
State: optimized geometry

abc: 5.6988 5.8547 5.6988
angles: 90.00 90.00 90.00
Each line ends with the local moment (μB).
Fractional positions:
Sb: 0.0000 0.0000 0.5000  -0.01
Sb: 0.5000 0.0000 0.0000  -0.02
Hf: 0.5000 0.5000 0.5000  0.64
Sn: 0.0000 0.0000 0.0000  -0.01
La: 0.0000 0.5000 0.0000  0.09

Properties
Formation energy from raw total energies = 85 kJ per mole of atoms
Space-group type = P4/mmm, No. 123
Mass density = 5.94 g/cm³
D(E_F) = 5.86 states/eV per cell
Electronic total energy = -22.7 eV for the cell shown

=====

4.
Material: LaHfSbTe2
Method: DFT, PBE
State: optimized geometry

abc: 5.9445 5.9445 5.9731
angles: 90.00 90.00 90.00
Fractional positions:
Hf: 0.5000 0.5000 0.5000
Te: 0.0000 0.5000 0.0000
Te: 0.5000 0.0000 0.0000
Sb: 0.0000 0.0000 0.5000
La: 0.0000 0.0000 0.0000

Properties
Formation energy from raw total energies = 63 kJ per mole of atoms
Space-group type = P4/mmm, No. 123
Mass density = 5.46 g/cm³
D(E_F) = 7.34 states/eV per cell
Electronic total energy = -22.0 eV for the cell shown
Relative energy among the computed polymorphs = 1.228 eV/atom

=====

5.
Material: LaHfSbTe2
Method: DFT, PBE
State: optimized geometry

abc: 5.4889 5.4889 5.5748
angles: 90.00 90.00 90.00
Fractional positions:
Te: 0.5000 0.0000 0.0000
Te: 0.0000 0.5000 0.0000
Sb: 0.0000 0.0000 0.5000
La: 0.5000 0.5000 0.5000
Hf: 0.0000 0.0000 0.0000

Properties
Formation energy from raw total energies = -55 kJ per mole of atoms
Space-group type = P4/mmm, No. 123
Mass density = 6.86 g/cm³
D(E_F) = 4.41 states/eV per cell
Electronic total energy = -28.1 eV for the cell shown
Relative energy among the computed polymorphs = 0.000 eV/atom

=====

6.
Material: LaHfTiSb
Method: DFT, PBE
State: optimized geometry

abc: 3.3391 5.0793 6.5721
angles: 95.78 90.03 109.18
Fractional positions:
Hf: 0.3576 0.8421 0.9985
Sb: 0.0885 0.3031 0.2345
Ti: 0.6178 0.3633 0.8828
La: 0.8326 0.7927 0.5348

Properties
Formation energy from raw total energies = -6 kJ per mole of atoms
Space-group type = Cm, No. 8
Mass density = 7.73 g/cm³
D(E_F) = 4.12 states/eV per cell
Electronic total energy = -27.2 eV for the cell shown
Relative energy among the computed polymorphs = 0.194 eV/atom

=====

7.
Material: LaHfTiSb
Method: DFT, PBE
State: optimized geometry

abc: 4.5764 3.8691 11.4359
angles: 90.00 90.00 90.00
Each line ends with the local moment (μB).
Fractional positions:
Hf: 0.5000 0.5000 0.2639  0.04
Hf: 0.5000 0.0000 0.7639  0.04
Ti: 0.0000 0.5000 0.8182  0.21
Ti: 0.0000 0.0000 0.3182  0.21
Sb: 0.5000 0.0000 0.4642  0.00
Sb: 0.5000 0.5000 0.9642  0.00
La: 0.0000 0.0000 0.0595  0.01
La: 0.0000 0.5000 0.5595  0.01

Properties
Formation energy from raw total energies = -25 kJ per mole of atoms
Space-group type = Amm2, No. 38
Mass density = 7.99 g/cm³
D(E_F) = 8.84 states/eV per cell
Electronic total energy = -55.9 eV for the cell shown
Relative energy among the computed polymorphs = 0.001 eV/atom

=====

8.
Material: LaHfTiSb
Method: DFT, PBE
State: optimized geometry

abc: 4.2697 4.7802 4.5233
angles: 90.00 90.00 90.00
Fractional positions:
La: 0.0000 0.5000 0.0000
Ti: 0.5000 0.5000 0.5000
Hf: 0.5000 0.0000 0.0000
Sb: 0.0000 0.0000 0.5000

Properties
Formation energy from raw total energies = -16 kJ per mole of atoms
Space-group type = Pmmm, No. 47
Mass density = 8.76 g/cm³
D(E_F) = 4.97 states/eV per cell
Electronic total energy = -27.6 eV for the cell shown
Relative energy among the computed polymorphs = 0.093 eV/atom

=====

Record order is preserved below.
V: 166.7, 514.3, 190.1, 211.1, 168.0, 104.7, 202.5, 92.3 Å³ per cell